# Li3Ag7Sn2

Crystalline Li3Ag7Sn2 at its relaxed geometry (PBE, Alexandria via LeMat-Bulk).

Values from the calculation:
DOS(E_F): 0.390 states/eV per atom
spin magnetization: 0.00 μB per formula unit
crystal system: monoclinic
final energy: -2.88 eV/atom
energy of formation from the pure elements: -76 meV/atom

Cell lengths 4.5993, 3.1285, 16.1151 Å; angles 90.00, 97.75, 90.00 degrees
Element x y z (fractional)
Li: 0.0000 0.0000 0.0000
Li: 0.3121 0.5000 0.6200
Li: 0.6879 0.5000 0.3800
Ag: 0.0612 0.5000 0.1269
Ag: 0.2286 0.0000 0.4542
Ag: 0.4194 0.0000 0.8333
Ag: 0.5000 0.5000 0.0000
Ag: 0.5806 0.0000 0.1667
Ag: 0.7714 0.0000 0.5458
Ag: 0.9388 0.5000 0.8731
Sn: 0.1360 0.0000 0.2824
Sn: 0.8640 0.0000 0.7176

# LiAgSn3

Crystalline LiAgSn3 at its relaxed geometry (PBE, Alexandria via LeMat-Bulk).

Values from the calculation:
DOS(E_F): 0.484 states/eV per atom
spin magnetization: 0.00 μB per formula unit
crystal system: cubic
final energy: -3.06 eV/atom
energy of formation from the pure elements: 291 meV/atom

Cell lengths 4.9998, 4.9998, 4.9998 Å; angles 90.00, 90.00, 90.00 degrees
Element x y z (fractional)
Li: 0.0000 0.0000 0.0000
Ag: 0.5000 0.5000 0.5000
Sn: 0.0000 0.0000 0.5000
Sn: 0.0000 0.5000 0.0000
Sn: 0.5000 0.0000 0.0000

# LiAgSn

Crystalline LiAgSn at its relaxed geometry (PBE, Alexandria via LeMat-Bulk).

Values from the calculation:
DOS(E_F): 0.317 states/eV per atom
spin magnetization: 0.00 μB per formula unit
crystal system: tetragonal
final energy: -3.15 eV/atom
energy of formation from the pure elements: -226 meV/atom

Cell lengths 5.1325, 5.1325, 5.1325 Å; angles 139.05, 139.05, 59.30 degrees
Element x y z (fractional)
Li: 0.0000 0.0000 0.0000
Ag: 0.3495 0.3495 0.0000
Sn: 0.6758 0.6758 0.0000

# Li2AgSn3

Crystalline Li2AgSn3 at its relaxed geometry (PBE, Alexandria via LeMat-Bulk).

Values from the calculation:
DOS(E_F): 0.359 states/eV per atom
spin magnetization: 0.00 μB per formula unit
crystal system: orthorhombic
final energy: -3.33 eV/atom
energy of formation from the pure elements: -214 meV/atom

Cell lengths 6.9379, 6.9379, 4.3361 Å; angles 90.00, 90.00, 141.89 degrees
Element x y z (fractional)
Li: 0.1592 0.8408 0.0000
Li: 0.8408 0.1592 0.0000
Ag: 0.5000 0.5000 0.0000
Sn: 0.0000 0.0000 0.5000
Sn: 0.3323 0.6677 0.5000
Sn: 0.6677 0.3323 0.5000

# Li2Ag4Sn

Crystalline Li2Ag4Sn at its relaxed geometry (PBE, Alexandria via LeMat-Bulk).

Values from the calculation:
DOS(E_F): 0.272 states/eV per atom
spin magnetization: 0.00 μB per formula unit
crystal system: tetragonal
final energy: -2.43 eV/atom
energy of formation from the pure elements: 314 meV/atom

Cell lengths 7.8837, 7.8837, 7.8837 Å; angles 141.90, 141.90, 54.98 degrees
Element x y z (fractional)
Li: 0.1089 0.1089 0.0000
Li: 0.8911 0.8911 0.0000
Ag: 0.0000 0.5000 0.5000
Ag: 0.3015 0.3015 0.0000
Ag: 0.5000 0.0000 0.5000
Ag: 0.6985 0.6985 0.0000
Sn: 0.5000 0.5000 0.0000

# Li5Ag2Sn4

Crystalline Li5Ag2Sn4 at its relaxed geometry (PBE, Alexandria via LeMat-Bulk).

Values from the calculation:
DOS(E_F): 0.280 states/eV per atom
spin magnetization: 0.00 μB per formula unit
crystal system: monoclinic
final energy: -3.08 eV/atom
energy of formation from the pure elements: -237 meV/atom

Cell lengths 7.9259, 3.1385, 9.2343 Å; angles 90.00, 90.15, 90.00 degrees
Element x y z (fractional)
Li: 0.0000 0.0000 0.0000
Li: 0.0677 0.0000 0.3478
Li: 0.3866 0.0000 0.8742
Li: 0.6134 0.0000 0.1258
Li: 0.9323 0.0000 0.6522
Ag: 0.4149 0.0000 0.3649
Ag: 0.5851 0.0000 0.6351
Sn: 0.2503 0.5000 0.6105
Sn: 0.2739 0.5000 0.1256
Sn: 0.7261 0.5000 0.8744
Sn: 0.7497 0.5000 0.3895

Question: Which value of spin magnetization does entry 6 give?
Answer: 0.00 μB per formula unit

Question: Which of these has the highest energy of formation from the pure elements?
Answer: Li2Ag4Sn